No. 1
Below is KGa3Rh after structural relaxation, with properties calculated at the PBE level.

The value obtained for the density is 3.778 g/cm3. The value obtained for the total DFT energy (no corrections) is -9.45 eV for the cell shown. The calculation puts the energy of formation at 1.616 eV per atom. For the energy above the lowest structure with this stoichiometry, the calculation gives 1.920 eV/atom.

It has space group Pm-3m (No. 221), with a = 5.364 Å, b = 5.364 Å, c = 5.364 Å, α = 90.00°, β = 90.00° and γ = 90.00°. Symmetry generates all atoms from K at (0.000, 0.000, 0.000), Ga at (0.000, 0.000, 0.500) and Rh at (0.500, 0.500, 0.500).

No. 2
Below is K2GaRh2 after structural relaxation, with properties calculated at the PBE level.

The value obtained for the density is 4.189 g/cm3. The value obtained for the total DFT energy (no corrections) is -35.31 eV for the cell shown. The calculation puts the energy of formation at 0.454 eV per atom. For the energy above the lowest structure with this stoichiometry, the calculation gives 0.000 eV/atom.

It has space group I4/mmm (No. 139), with a = 3.534 Å, b = 3.534 Å, c = 22.454 Å, α = 90.00°, β = 90.00° and γ = 90.00°. Symmetry generates all atoms from K at (0.000, 0.000, 0.122), Ga at (0.000, 0.000, 0.500) and Rh at (0.000, 0.500, 0.250).